VASP calculation (PBE) on GaOsO2 after structural relaxation.

```
GaOsO2
1.0
4.754 0.000 0.000
0.000 4.754 0.000
0.000 0.000 8.864
Ga Os O
4 4 8
Cartesian
0.000 0.000 0.000
0.000 2.377 2.216
2.377 0.000 6.648
2.377 2.377 4.432
0.000 0.000 4.432
0.000 2.377 6.648
2.377 0.000 2.216
2.377 2.377 0.000
0.936 1.188 1.108
1.188 3.313 3.324
1.188 3.818 7.756
1.441 1.188 5.540
3.313 3.565 5.540
3.565 0.936 7.756
3.565 1.441 3.324
3.818 3.565 1.108
```

Results
Crystal system   tetragonal
N(E_F)   2.18 states/eV/f.u.
Total magnetic moment   0.0 Bohr magnetons per cell
Total energy   -99.043 eV per cell

VASP calculation (PBE) on TiIN2O after structural relaxation.

```
TiIN2O
1.0
4.122 0.000 0.000
0.000 4.122 0.000
0.000 0.000 3.973
Ti I N O
1 1 2 1
Cartesian
0.000 0.000 0.000
2.061 2.061 1.987
0.000 2.061 1.987
2.061 0.000 1.987
2.061 2.061 0.000
```

Results
Crystal system   tetragonal
N(E_F)   7.32 states/eV/f.u.
Total magnetic moment   0.0 Bohr magnetons per cell
Total energy   -24.934 eV per cell

VASP calculation (PBE) on ScGe3Ir after structural relaxation.

```
ScGe3Ir
1.0
4.825 0.000 0.000
0.000 4.825 0.000
0.000 0.000 4.825
Sc Ge Ir
1 3 1
Cartesian
0.000 0.000 0.000
0.000 2.412 2.412
2.412 0.000 2.412
2.412 2.412 0.000
2.412 2.412 2.412
```

Results
Energy relative to the elements   1.4 eV per formula unit
Crystal system   cubic
N(E_F)   4.63 states/eV/f.u.
Total magnetic moment   0.0 Bohr magnetons per cell
Total energy   -27.677 eV per cell

VASP calculation (PBE) on La6CePm2Ho after structural relaxation.

```
La6CePm2Ho
1.0
5.761 -3.546 0.000
5.761 3.546 0.000
-2.619 0.000 8.743
La Ce Pm Ho
6 1 2 1
Cartesian
3.074 1.653 1.764
0.342 0.000 3.623
5.829 1.653 6.979
3.074 -1.653 1.764
8.561 0.000 5.120
5.829 -1.653 6.979
0.000 0.000 0.000
2.639 0.000 7.246
6.265 0.000 1.496
4.452 0.000 4.371
```

Results
Energy relative to the elements   2.1 eV per formula unit
Crystal system   monoclinic
N(E_F)   21.15 states/eV/f.u.
Total magnetic moment   1.0 Bohr magnetons per cell
Total energy   -47.519 eV per cell

Q: What is the formula in the first record?
A: GaOsO2

Q: Which value of total energy does entry 4 give?
A: -47.519 eV per cell

Repeat the second record exactly.
VASP calculation (PBE) on TiIN2O after structural relaxation.

```
TiIN2O
1.0
4.122 0.000 0.000
0.000 4.122 0.000
0.000 0.000 3.973
Ti I N O
1 1 2 1
Cartesian
0.000 0.000 0.000
2.061 2.061 1.987
0.000 2.061 1.987
2.061 0.000 1.987
2.061 2.061 0.000
```

Results
Crystal system   tetragonal
N(E_F)   7.32 states/eV/f.u.
Total magnetic moment   0.0 Bohr magnetons per cell
Total energy   -24.934 eV per cell

Q: total magnetic moment of number 1 (GaOsO2)?
A: 0.0 Bohr magnetons per cell